This record from Alexandria describes crystalline BaScAl2 at its relaxed geometry. The functional is PBE.

Summary:
- energy above the most stable polymorph in this dataset (meV per atom) = 240
- energy (eV for the cell shown) = -15.64

a = 3.450 Å, b = 3.450 Å, c = 8.916 Å
α = 90.00°, β = 90.00°, γ = 89.97°
Sites, in units of the cell vectors:
Al  0.000  0.000  0.023
Al  0.500  0.500  0.179
Sc  0.500  0.500  0.829
Ba  0.000  0.000  0.469

---

This record from Alexandria describes crystalline Ba2ScAl at its relaxed geometry. The functional is PBE.

Summary:
- energy (eV for the cell shown) = -12.93

a = 9.312 Å, b = 5.899 Å, c = 4.178 Å
α = 90.02°, β = 63.31°, γ = 129.07°
Sites, in units of the cell vectors:
Al  0.500  0.500  0.000
Ba  0.000  0.000  0.000
Ba  0.500  0.000  0.500
Sc  0.000  0.500  0.500

---

This record from Alexandria describes crystalline BaScAl2 at its relaxed geometry. The functional is PBE.

Summary:
- energy above the most stable polymorph in this dataset (meV per atom) = 116
- energy (eV for the cell shown) = -16.13

a = 7.043 Å, b = 7.043 Å, c = 7.043 Å
α = 38.03°, β = 38.03°, γ = 38.03°
Site moments in Bohr magnetons follow the coordinates.
Sites, in units of the cell vectors:
Al  0.979  0.979  0.979  0.00
Al  0.309  0.309  0.309  0.00
Ba  0.508  0.508  0.508  0.10
Sc  0.704  0.704  0.704  0.23

---

The following formation energy values (in eV per atom) correspond, in order, to the records above: 0.03, 0.25, -0.10.
The following density of states at the Fermi level values (in states/eV per atom) correspond, in order, to the records above: 1.0710, 1.2034, 0.8725.